Here is an optimized crystal structure of CsZrAgSe2S from the Open Quantum Materials Database. Energies are from PBE.

Properties
- E_tot: -4.9918 eV per atom
- Excess energy over the best structure of this formula in the dataset: 0 meV per atom
- Space group: P2_1/m, No. 11

The structure in POSCAR format:
```
CsZrAgSe2S
1.0
9.151 0.000 0.000
0.000 4.030 0.000
-4.085 0.000 9.373
Cs Zr Ag Se S
2 2 2 4 2
Direct
0.246 0.250 0.280 Cs
0.754 0.750 0.720 Cs
0.310 0.750 0.837 Zr
0.690 0.250 0.163 Zr
0.078 0.250 0.606 Ag
0.922 0.750 0.394 Ag
0.124 0.250 0.875 Se
0.473 0.750 0.136 Se
0.527 0.250 0.864 Se
0.876 0.750 0.125 Se
0.240 0.750 0.572 S
0.760 0.250 0.428 S
```